Record 1
# Nd2DyEr3 (GGA-PBE, optimized geometry)
# - DFT formation energy (eV/atom) = 0.069
# - total energy (eV/atom) = -4.569
# - excess energy over the best structure of this formula in the dataset (meV per atom) = 0
data_Nd2DyEr3
_chemical_formula_sum 'Nd8 Dy4 Er12'
_symmetry_space_group_name_H-M 'C 1 2/m 1'
_symmetry_Int_Tables_number 12
_cell_length_a 23.4457
_cell_length_b 3.5612
_cell_length_c 9.6865
_cell_angle_alpha 90.00
_cell_angle_beta 104.68
_cell_angle_gamma 90.00
loop_
_symmetry_equiv_pos_as_xyz
'x,y,z'
'-x,-y,-z'
'-x,y,-z'
'x,-y,z'
'x+1/2,y+1/2,z'
'-x+1/2,-y+1/2,-z'
'-x+1/2,y+1/2,-z'
'x+1/2,-y+1/2,z'
loop_
_atom_site_label
_atom_site_fract_x
_atom_site_fract_y
_atom_site_fract_z
Nd1 0.0669 0.0000 0.1186
Nd2 0.1864 0.5000 0.7164
Dy1 0.0646 0.0000 0.7621
Er1 0.0623 0.5000 0.4368
Er2 0.1873 0.0000 0.3993
Er3 0.1913 0.5000 0.0708

Record 2
# Tl2CdCl (GGA-PBE, optimized geometry)
# - total energy (eV/atom) = -2.140
# - excess energy over the best structure of this formula in the dataset (meV per atom) = 119
data_Tl2CdCl
_chemical_formula_sum 'Tl8 Cd4 Cl4'
_symmetry_space_group_name_H-M 'F m -3 m'
_symmetry_Int_Tables_number 225
_symmetry_space_group_name_Hall '-F 4 2 3'
_cell_length_a 7.8001
_cell_length_b 7.8001
_cell_length_c 7.8001
_cell_angle_alpha 90.00
_cell_angle_beta 90.00
_cell_angle_gamma 90.00
loop_
_atom_site_label
_atom_site_fract_x
_atom_site_fract_y
_atom_site_fract_z
Tl1 0.2500 0.2500 0.2500
Cd1 0.0000 0.0000 0.0000
Cl1 0.0000 0.0000 0.5000

Record 3
# LaMn2W (GGA-PBE, optimized geometry)
# - DFT formation energy (eV/atom) = 0.406
# - total energy (eV/atom) = -8.649
# - excess energy over the best structure of this formula in the dataset (meV per atom) = 116
data_LaMn2W
_chemical_formula_sum 'La1 Mn2 W1'
_symmetry_space_group_name_H-M 'P 4 m m'
_symmetry_Int_Tables_number 99
_cell_length_a 3.0803
_cell_length_b 3.0803
_cell_length_c 7.7010
_cell_angle_alpha 90.00
_cell_angle_beta 90.00
_cell_angle_gamma 90.00
loop_
_symmetry_equiv_pos_as_xyz
'x,y,z'
'-y,x,z'
'-x,-y,z'
'y,-x,z'
'-x,y,z'
'y,x,z'
'x,-y,z'
'-y,-x,z'
loop_
_atom_site_label
_atom_site_fract_x
_atom_site_fract_y
_atom_site_fract_z
La1 0.0000 0.0000 0.0000
Mn1 0.0000 0.0000 0.5228
Mn2 0.5000 0.5000 0.3278
W1 0.5000 0.5000 0.6865

Record 4
# TaBeW (GGA-PBE, optimized geometry)
# - DFT formation energy (eV/atom) = 0.087
# - total energy (eV/atom) = -9.424
# - excess energy over the best structure of this formula in the dataset (meV per atom) = 243
data_TaBeW
_chemical_formula_sum 'Ta4 Be4 W4'
_symmetry_space_group_name_H-M 'F m m 2'
_symmetry_Int_Tables_number 42
_symmetry_space_group_name_Hall 'F 2 -2'
_cell_length_a 3.4759
_cell_length_b 4.2356
_cell_length_c 11.7661
_cell_angle_alpha 90.00
_cell_angle_beta 90.00
_cell_angle_gamma 90.00
loop_
_atom_site_label
_atom_site_fract_x
_atom_site_fract_y
_atom_site_fract_z
Ta1 0.0000 0.0000 0.0000
Be1 0.0000 0.0000 0.6551
W1 0.0000 0.0000 0.3002

Record 5
# Zr3In (GGA-PBE, optimized geometry)
# - DFT formation energy (eV/atom) = -0.142
# - total energy (eV/atom) = -7.238
data_Zr3In
_chemical_formula_sum 'Zr3 In1'
_symmetry_space_group_name_H-M 'P 4/m m m'
_symmetry_Int_Tables_number 123
_symmetry_space_group_name_Hall '-P 4 2'
_cell_length_a 3.1832
_cell_length_b 3.1832
_cell_length_c 9.1012
_cell_angle_alpha 90.00
_cell_angle_beta 90.00
_cell_angle_gamma 90.00
loop_
_atom_site_label
_atom_site_fract_x
_atom_site_fract_y
_atom_site_fract_z
Zr1 0.0000 0.0000 0.0000
Zr2 0.5000 0.5000 0.2512
In1 0.0000 0.0000 0.5000

Record 6
# PaV2Pd (GGA-PBE, optimized geometry)
# - DFT formation energy (eV/atom) = 0.100
# - total energy (eV/atom) = -8.131
# - excess energy over the best structure of this formula in the dataset (meV per atom) = 30
data_PaV2Pd
_chemical_formula_sum 'Pa3 V6 Pd3'
_symmetry_space_group_name_H-M 'R -3 m'
_symmetry_Int_Tables_number 166
_symmetry_space_group_name_Hall '-R 3 2"'
_cell_length_a 4.4467
_cell_length_b 4.4467
_cell_length_c 11.5223
_cell_angle_alpha 90.00
_cell_angle_beta 90.00
_cell_angle_gamma 120.00
loop_
_atom_site_label
_atom_site_fract_x
_atom_site_fract_y
_atom_site_fract_z
Pa1 0.0000 0.0000 0.0000
V1 0.0000 0.0000 0.2627
Pd1 0.0000 0.0000 0.5000

Record 7
# ScFeCoGe2 (GGA-PBE, optimized geometry)
# - DFT formation energy (eV/atom) = -0.451
# - total energy (eV/atom) = -6.678
data_ScFeCoGe2
_chemical_formula_sum 'Sc2 Fe2 Co2 Ge4'
_symmetry_space_group_name_H-M 'I -4 m 2'
_symmetry_Int_Tables_number 119
_symmetry_space_group_name_Hall 'I -4 -2'
_cell_length_a 3.9118
_cell_length_b 3.9118
_cell_length_c 9.8181
_cell_angle_alpha 90.00
_cell_angle_beta 90.00
_cell_angle_gamma 90.00
loop_
_atom_site_label
_atom_site_fract_x
_atom_site_fract_y
_atom_site_fract_z
Sc1 0.0000 0.0000 0.0000
Fe1 0.0000 0.5000 0.2500
Co1 0.0000 0.5000 0.7500
Ge1 0.0000 0.0000 0.3737

Record 8
# PuNpFe2 (GGA-PBE, optimized geometry)
# - DFT formation energy (eV/atom) = 0.345
# - total energy (eV/atom) = -10.704
data_PuNpFe2
_chemical_formula_sum 'Pu1 Np1 Fe2'
_symmetry_space_group_name_H-M 'P 4/m m m'
_symmetry_Int_Tables_number 123
_symmetry_space_group_name_Hall '-P 4 2'
_cell_length_a 4.1048
_cell_length_b 4.1048
_cell_length_c 3.7542
_cell_angle_alpha 90.00
_cell_angle_beta 90.00
_cell_angle_gamma 90.00
loop_
_atom_site_label
_atom_site_fract_x
_atom_site_fract_y
_atom_site_fract_z
Pu1 0.0000 0.0000 0.0000
Np1 0.5000 0.5000 0.0000
Fe1 0.0000 0.5000 0.5000

Record 9
# Zr3Cr5S12 (GGA-PBE, optimized geometry)
# - total energy (eV/atom) = -7.012
data_Zr3Cr5S12
_chemical_formula_sum 'Zr24 Cr40 S96'
_symmetry_space_group_name_H-M 'I a -3 d'
_symmetry_Int_Tables_number 230
_symmetry_space_group_name_Hall '-I 4bd 2c 3'
_cell_length_a 14.5658
_cell_length_b 14.5658
_cell_length_c 14.5658
_cell_angle_alpha 90.00
_cell_angle_beta 90.00
_cell_angle_gamma 90.00
loop_
_atom_site_label
_atom_site_fract_x
_atom_site_fract_y
_atom_site_fract_z
Zr1 0.0000 0.2500 0.1250
Cr1 0.0000 0.0000 0.0000
Cr2 0.0000 0.2500 0.3750
S1 0.0238 0.0642 0.6511

Record 10
# LiSnSe3 (GGA-PBE, optimized geometry)
# - total energy (eV/atom) = -3.301
# - excess energy over the best structure of this formula in the dataset (meV per atom) = 502
data_LiSnSe3
_chemical_formula_sum 'Li1 Sn1 Se3'
_symmetry_space_group_name_H-M 'P m -3 m'
_symmetry_Int_Tables_number 221
_symmetry_space_group_name_Hall '-P 4 2 3'
_cell_length_a 5.3396
_cell_length_b 5.3396
_cell_length_c 5.3396
_cell_angle_alpha 90.00
_cell_angle_beta 90.00
_cell_angle_gamma 90.00
loop_
_atom_site_label
_atom_site_fract_x
_atom_site_fract_y
_atom_site_fract_z
Li1 0.0000 0.0000 0.0000
Sn1 0.5000 0.5000 0.5000
Se1 0.0000 0.5000 0.5000

Record 11
# CrIn2Pt (GGA-PBE, optimized geometry)
# - DFT formation energy (eV/atom) = 0.019
# - total energy (eV/atom) = -5.266
data_CrIn2Pt
_chemical_formula_sum 'Cr2 In4 Pt2'
_symmetry_space_group_name_H-M 'I m m 2'
_symmetry_Int_Tables_number 44
_cell_length_a 3.0847
_cell_length_b 4.6713
_cell_length_c 10.6267
_cell_angle_alpha 90.00
_cell_angle_beta 90.00
_cell_angle_gamma 90.00
loop_
_symmetry_equiv_pos_as_xyz
'x,y,z'
'-x,-y,z'
'-x,y,z'
'x,-y,z'
'x+1/2,y+1/2,z+1/2'
'-x+1/2,-y+1/2,z+1/2'
'-x+1/2,y+1/2,z+1/2'
'x+1/2,-y+1/2,z+1/2'
loop_
_atom_site_label
_atom_site_fract_x
_atom_site_fract_y
_atom_site_fract_z
Cr1 0.0000 0.0000 0.0000
In1 0.0000 0.0000 0.5449
In2 0.0000 0.5000 0.7500
Pt1 0.0000 0.5000 0.2917

Record 12
# ErTh2WC4 (GGA-PBE, optimized geometry)
# - DFT formation energy (eV/atom) = -0.009
# - total energy (eV/atom) = -8.665
data_ErTh2WC4
_chemical_formula_sum 'Er4 Th8 W4 C16'
_symmetry_space_group_name_H-M 'C m c m'
_symmetry_Int_Tables_number 63
_symmetry_space_group_name_Hall '-C 2c 2'
_cell_length_a 3.5752
_cell_length_b 12.0493
_cell_length_c 13.0541
_cell_angle_alpha 90.00
_cell_angle_beta 90.00
_cell_angle_gamma 90.00
loop_
_atom_site_label
_atom_site_fract_x
_atom_site_fract_y
_atom_site_fract_z
Er1 0.0000 0.1147 0.2500
Th1 0.0000 0.3649 0.0358
W1 0.0000 0.1597 0.7500
C1 0.0000 0.0000 0.0000
C2 0.0000 0.2669 0.6377
C3 0.0000 0.4302 0.2500

Record 13
# KTaHg2 (GGA-PBE, optimized geometry)
# - DFT formation energy (eV/atom) = 0.456
# - total energy (eV/atom) = -2.932
# - excess energy over the best structure of this formula in the dataset (meV per atom) = 77
data_KTaHg2
_chemical_formula_sum 'K3 Ta3 Hg6'
_symmetry_space_group_name_H-M 'R -3 m'
_symmetry_Int_Tables_number 166
_symmetry_space_group_name_Hall '-R 3 2"'
_cell_length_a 3.1747
_cell_length_b 3.1747
_cell_length_c 32.4425
_cell_angle_alpha 90.00
_cell_angle_beta 90.00
_cell_angle_gamma 120.00
loop_
_atom_site_label
_atom_site_fract_x
_atom_site_fract_y
_atom_site_fract_z
K1 0.0000 0.0000 0.0000
Ta1 0.0000 0.0000 0.5000
Hg1 0.0000 0.0000 0.2407

Record 14
# NdMg5Ni2 (GGA-PBE, optimized geometry)
# - DFT formation energy (eV/atom) = -0.145
# - total energy (eV/atom) = -3.183
data_NdMg5Ni2
_chemical_formula_sum 'Nd2 Mg10 Ni4'
_symmetry_space_group_name_H-M 'I m m m'
_symmetry_Int_Tables_number 71
_symmetry_space_group_name_Hall '-I 2 2'
_cell_length_a 4.1096
_cell_length_b 8.1291
_cell_length_c 9.8357
_cell_angle_alpha 90.00
_cell_angle_beta 90.00
_cell_angle_gamma 90.00
loop_
_atom_site_label
_atom_site_fract_x
_atom_site_fract_y
_atom_site_fract_z
Nd1 0.0000 0.0000 0.0000
Mg1 0.0000 0.1850 0.3375
Mg2 0.0000 0.5000 0.0000
Ni1 0.0000 0.5000 0.2704

Record 15
# PPdRuN (GGA-PBE, optimized geometry)
# - total energy (eV/atom) = -6.950
# - excess energy over the best structure of this formula in the dataset (meV per atom) = 34
data_PPdRuN
_chemical_formula_sum 'P2 Pd2 Ru2 N2'
_symmetry_space_group_name_H-M 'C 1 m 1'
_symmetry_Int_Tables_number 8
_cell_length_a 5.0554
_cell_length_b 2.9219
_cell_length_c 7.1542
_cell_angle_alpha 90.00
_cell_angle_beta 103.71
_cell_angle_gamma 90.00
loop_
_symmetry_equiv_pos_as_xyz
'x,y,z'
'x,-y,z'
'x+1/2,y+1/2,z'
'x+1/2,-y+1/2,z'
loop_
_atom_site_label
_atom_site_fract_x
_atom_site_fract_y
_atom_site_fract_z
P1 0.0000 0.0000 0.0000
Pd1 0.2565 0.5000 0.2637
Ru1 0.2459 0.0000 0.7373
N1 0.3579 0.5000 0.5744

Record 16
# Li5SiP3 (GGA-PBE, optimized geometry)
# - total energy (eV/atom) = -4.058
data_Li5SiP3
_chemical_formula_sum 'Li20 Si4 P12'
_symmetry_space_group_name_H-M 'C 1 c 1'
_symmetry_Int_Tables_number 9
_cell_length_a 12.8231
_cell_length_b 5.9264
_cell_length_c 8.6428
_cell_angle_alpha 90.00
_cell_angle_beta 109.49
_cell_angle_gamma 90.00
loop_
_symmetry_equiv_pos_as_xyz
'x,y,z'
'x,-y,z+1/2'
'x+1/2,y+1/2,z'
'x+1/2,-y+1/2,z+1/2'
loop_
_atom_site_label
_atom_site_fract_x
_atom_site_fract_y
_atom_site_fract_z
Li1 0.0000 0.2128 0.0000
Li2 0.1611 0.2412 0.8081
Li3 0.1763 0.2642 0.3065
Li4 0.3245 0.2338 0.6359
Li5 0.3457 0.2608 0.1462
Si1 0.0012 0.3260 0.4227
P1 0.0016 0.0383 0.2669
P2 0.1582 0.4902 0.5530
P3 0.3435 0.0113 0.8989

Record 17
# ReIr2Pt (GGA-PBE, optimized geometry)
# - DFT formation energy (eV/atom) = 0.224
# - total energy (eV/atom) = -8.829
# - excess energy over the best structure of this formula in the dataset (meV per atom) = 373
data_ReIr2Pt
_chemical_formula_sum 'Re1 Ir2 Pt1'
_symmetry_space_group_name_H-M 'P 4/m m m'
_symmetry_Int_Tables_number 123
_symmetry_space_group_name_Hall '-P 4 2'
_cell_length_a 3.3380
_cell_length_b 3.3380
_cell_length_c 5.4726
_cell_angle_alpha 90.00
_cell_angle_beta 90.00
_cell_angle_gamma 90.00
loop_
_atom_site_label
_atom_site_fract_x
_atom_site_fract_y
_atom_site_fract_z
Re1 0.0000 0.0000 0.0000
Ir1 0.5000 0.5000 0.2435
Pt1 0.0000 0.0000 0.5000

Record 18
# TbZr2Pa (GGA-PBE, optimized geometry)
# - DFT formation energy (eV/atom) = 0.146
# - total energy (eV/atom) = -7.659
# - excess energy over the best structure of this formula in the dataset (meV per atom) = 35
data_TbZr2Pa
_chemical_formula_sum 'Tb3 Zr6 Pa3'
_symmetry_space_group_name_H-M 'R -3 m'
_symmetry_Int_Tables_number 166
_symmetry_space_group_name_Hall '-R 3 2"'
_cell_length_a 3.2996
_cell_length_b 3.2996
_cell_length_c 32.6666
_cell_angle_alpha 90.00
_cell_angle_beta 90.00
_cell_angle_gamma 120.00
loop_
_atom_site_label
_atom_site_fract_x
_atom_site_fract_y
_atom_site_fract_z
Tb1 0.0000 0.0000 0.0000
Zr1 0.0000 0.0000 0.2468
Pa1 0.0000 0.0000 0.5000

Record 19
# Ti2TcSb (GGA-PBE, optimized geometry)
# - total energy (eV/atom) = -7.897
data_Ti2TcSb
_chemical_formula_sum 'Ti2 Tc1 Sb1'
_symmetry_space_group_name_H-M 'P 4/m m m'
_symmetry_Int_Tables_number 123
_symmetry_space_group_name_Hall '-P 4 2'
_cell_length_a 4.0839
_cell_length_b 4.0839
_cell_length_c 4.0212
_cell_angle_alpha 90.00
_cell_angle_beta 90.00
_cell_angle_gamma 90.00
loop_
_atom_site_label
_atom_site_fract_x
_atom_site_fract_y
_atom_site_fract_z
Ti1 0.0000 0.5000 0.0000
Tc1 0.0000 0.0000 0.5000
Sb1 0.5000 0.5000 0.5000

Record 20
# Ag4Pd5Au2 (GGA-PBE, optimized geometry)
# - DFT formation energy (eV/atom) = 0.184
# - total energy (eV/atom) = -3.809
data_Ag4Pd5Au2
_chemical_formula_sum 'Ag8 Pd10 Au4'
_symmetry_space_group_name_H-M 'C 1 2/m 1'
_symmetry_Int_Tables_number 12
_cell_length_a 19.8085
_cell_length_b 3.8231
_cell_length_c 5.4842
_cell_angle_alpha 90.00
_cell_angle_beta 93.44
_cell_angle_gamma 90.00
loop_
_symmetry_equiv_pos_as_xyz
'x,y,z'
'-x,-y,-z'
'-x,y,-z'
'x,-y,z'
'x+1/2,y+1/2,z'
'-x+1/2,-y+1/2,-z'
'-x+1/2,y+1/2,-z'
'x+1/2,-y+1/2,z'
loop_
_atom_site_label
_atom_site_fract_x
_atom_site_fract_y
_atom_site_fract_z
Ag1 0.0498 0.0000 0.1898
Ag2 0.1384 0.5000 0.0437
Pd1 0.0000 0.5000 0.5000
Pd2 0.2024 0.0000 0.3695
Pd3 0.2226 0.0000 0.8527
Au1 0.0907 0.0000 0.6862